# Ac2HgPd2

A relaxed Ac2HgPd2 crystal (PBE-GGA, the Open Quantum Materials Database).

Cell and atoms, written as POSCAR:
```
Ac2HgPd2
1.0
8.1136 0.0000 0.0000
0.0000 8.1136 0.0000
0.0000 0.0000 4.1037
Ac Hg Pd
4 2 4
direct
0.1776 0.3224 0.0000
0.3224 0.8224 0.0000
0.6776 0.1776 0.0000
0.8224 0.6776 0.0000
0.0000 0.0000 0.5000
0.5000 0.5000 0.5000
0.1237 0.6237 0.5000
0.3763 0.1237 0.5000
0.6237 0.8763 0.5000
0.8763 0.3763 0.5000
```

Summary:
Space group: P4/mbm (127)
Spin magnetization in μB per formula unit: 0.005
Crystal system: tetragonal
DFT formation energy in eV per atom: -0.786